An optimized crystal structure of PrWIO4, computed with PBE+U.

Cell and atoms, written as POSCAR:
```
PrWIO4
1.0
5.616 -3.762 0.000
5.616 3.762 0.000
-2.017 0.000 7.041
Pr W I O
2 2 2 8
direct
0.244 0.244 0.136 Pr
0.756 0.756 0.864 Pr
0.366 0.366 0.739 W
0.634 0.634 0.261 W
0.019 0.019 0.752 I
0.981 0.981 0.248 I
0.122 0.496 0.853 O
0.303 0.303 0.483 O
0.467 0.467 0.201 O
0.496 0.122 0.853 O
0.504 0.878 0.147 O
0.533 0.533 0.799 O
0.697 0.697 0.517 O
0.878 0.504 0.147 O
```

Properties
Electronic total energy in eV/atom: -7.0138